Entry 1:
Y2NpPaN6 (GGA-PBE, relaxed); ρ = 8.25 g/cm³; space group = R3 (146); energy relative to the elements, uncorrected = -1.347 eV per atom; magnetization = 0.07 μB per formula unit
1.0
2.942 1.698 4.902
-2.942 1.698 4.902
0.000 -3.397 4.902
Y Np Pa N
2 1 1 6
direct
0.000 0.000 0.000 Y
0.496 0.496 0.496 Y
0.776 0.776 0.776 Np
0.272 0.272 0.272 Pa
0.050 0.424 0.641 N
0.129 0.899 0.573 N
0.424 0.641 0.050 N
0.573 0.129 0.899 N
0.641 0.050 0.424 N
0.899 0.573 0.129 N



Entry 2:
ZrNpPa2N6 (GGA-PBE, relaxed); ρ = 9.89 g/cm³; space group = R3 (146); energy relative to the elements, uncorrected = -1.393 eV per atom; magnetization = 3.00 μB per formula unit; DOS at the Fermi energy = 1.046 states/eV/atom
1.0
2.940 1.697 4.904
-2.940 1.697 4.904
0.000 -3.395 4.904
Zr Np Pa N
1 1 2 6
direct
0.000 0.000 0.000 Zr
0.501 0.501 0.501 Np
0.279 0.279 0.279 Pa
0.779 0.779 0.779 Pa
0.106 0.372 0.687 N
0.176 0.884 0.605 N
0.372 0.687 0.106 N
0.605 0.176 0.884 N
0.687 0.106 0.372 N
0.884 0.605 0.176 N



Entry 3:
ZrNpPa2N4 (GGA-PBE, relaxed); ρ = 12.33 g/cm³; space group = P2/m (10); energy relative to the elements, uncorrected = -1.525 eV per atom; magnetization = 3.09 μB per formula unit; DOS at the Fermi energy = 1.002 states/eV/atom
1.0
5.930 0.000 0.000
0.000 3.426 0.000
-1.951 0.000 5.613
Zr Np Pa N
1 1 2 4
direct
0.000 0.000 0.000 Zr
0.500 0.500 0.000 Np
0.000 0.500 0.500 Pa
0.500 0.000 0.500 Pa
0.239 0.500 0.238 N
0.244 0.000 0.758 N
0.756 0.000 0.242 N
0.761 0.500 0.762 N



Entry 4:
NpPdN (GGA-PBE, relaxed); ρ = 11.62 g/cm³; space group = P-6m2 (187); energy relative to the elements, uncorrected = -0.242 eV per atom; magnetization = 2.19 μB per formula unit; DOS at the Fermi energy = 2.540 states/eV/atom
1.0
3.763 0.000 0.000
-1.881 3.259 0.000
0.000 0.000 4.167
Np Pd N
1 1 1
direct
0.000 0.000 0.000 Np
0.333 0.667 0.500 Pd
0.667 0.333 0.000 N



Entry 5:
NpPdN (GGA-PBE, relaxed); ρ = 11.07 g/cm³; space group = I4mm (107); energy relative to the elements, uncorrected = 0.142 eV per atom; magnetization = 3.57 μB per formula unit; DOS at the Fermi energy = 2.729 states/eV/atom
1.0
-2.000 2.000 3.353
2.000 -2.000 3.353
2.000 2.000 -3.353
Np Pd N
1 1 1
direct
0.000 0.000 0.000 Np
0.394 0.394 0.000 Pd
0.706 0.706 0.000 N



Entry 6:
NpSbPdN (GGA-PBE, relaxed); ρ = 10.62 g/cm³; space group = I4mm (107); energy relative to the elements, uncorrected = -0.505 eV per atom; magnetization = 3.30 μB per formula unit; DOS at the Fermi energy = 1.307 states/eV/atom
1.0
-1.637 1.637 6.987
1.637 -1.637 6.987
1.637 1.637 -6.987
Np Sb Pd N
1 1 1 1
direct
0.000 0.000 0.000 Np
0.285 0.285 0.000 Sb
0.676 0.676 0.000 Pd
0.520 0.520 0.000 N



Entry 7:
Y2NpPdN4 (GGA-PBE, relaxed); ρ = 8.41 g/cm³; space group = P2/m (10); energy relative to the elements, uncorrected = -0.995 eV per atom; magnetization = 1.49 μB per formula unit; DOS at the Fermi energy = 0.839 states/eV/atom
1.0
5.691 0.000 0.000
0.000 3.601 0.000
-1.289 0.000 5.561
Y Np Pd N
2 1 1 4
direct
0.000 0.000 0.000 Y
0.500 0.500 0.000 Y
0.000 0.500 0.500 Np
0.500 0.000 0.500 Pd
0.185 0.500 0.237 N
0.254 0.000 0.739 N
0.746 0.000 0.261 N
0.815 0.500 0.763 N



Entry 8:
PmNp2N3 (GGA-PBE, relaxed); ρ = 12.06 g/cm³; space group = Immm (71); energy relative to the elements, uncorrected = -1.216 eV per atom; magnetization = 6.67 μB per formula unit; DOS at the Fermi energy = 1.878 states/eV/atom
1.0
-1.740 2.489 5.255
1.740 -2.489 5.255
1.740 2.489 -5.255
Pm Np N
1 2 3
direct
0.000 0.000 0.000 Pm
0.335 0.335 0.000 Np
0.665 0.665 0.000 Np
0.182 0.682 0.500 N
0.500 0.000 0.500 N
0.818 0.318 0.500 N



- What is the magnetization in the third record?
  3.09 μB per formula unit



- Look up the magnetization of the fourth one.
  2.19 μB per formula unit